(1)
A relaxed Pr2Sm4Sn3H2 crystal. Source: the Alexandria database, functional PBE-GGA.

Structure (POSCAR):
```
Pr2Sm4Sn3H2
1.0
-3.3910 -3.3523 -0.5155
2.1446 -2.6839 3.3466
-6.4033 8.7292 7.6674
Sm H Sn Pr
4 2 3 2
direct
0.5820 0.0820 0.1640 Sm
0.4180 0.9180 0.8360 Sm
0.9180 0.4180 0.8360 Sm
0.0820 0.5820 0.1640 Sm
0.6006 0.6006 0.2011 H
0.3994 0.3994 0.7989 H
0.8273 0.8273 0.6547 Sn
0.0000 0.0000 0.0000 Sn
0.1727 0.1727 0.3453 Sn
0.3007 0.3007 0.6014 Pr
0.6993 0.6993 0.3986 Pr
```

## Properties
energy = -4.861 eV per atom
spin magnetization = 0.000 μB/cell
density of states at the Fermi level = 0.987 states/eV/atom


(2)
A relaxed CsCo6Se8 crystal. Source: the Alexandria database, functional PBE-GGA.

Structure (POSCAR):
```
CsCo6Se8
1.0
-5.1692 -2.6912 -3.9717
-0.1103 -5.9319 3.8129
-4.9374 2.6212 4.2999
Se Co Cs
8 6 1
direct
0.1495 0.7058 0.4122 Se
0.5878 0.8505 0.2942 Se
0.8505 0.2942 0.5878 Se
0.4122 0.1495 0.7058 Se
0.7266 0.7266 0.7266 Se
0.2942 0.5878 0.8505 Se
0.7058 0.4122 0.1495 Se
0.2734 0.2734 0.2734 Se
0.4203 0.5663 0.2582 Co
0.5663 0.2582 0.4203 Co
0.7418 0.5797 0.4337 Co
0.2582 0.4203 0.5663 Co
0.4337 0.7418 0.5797 Co
0.5797 0.4337 0.7418 Co
0.0000 0.0000 0.0000 Cs
```

## Properties
raw formation energy = -0.259 eV/atom
energy = -5.017 eV per atom
spin magnetization = 9.025 μB/cell
density of states at the Fermi level = 0.628 states/eV/atom


(3)
A relaxed Y6Sn2BiSe3 crystal. Source: the Alexandria database, functional PBE-GGA.

Structure (POSCAR):
```
Y6Sn2BiSe3
1.0
4.2743 0.0000 0.0000
0.0000 8.5463 0.3282
-2.1371 -2.4438 8.9780
Sn Y Se Bi
2 6 3 1
direct
0.1670 0.3340 0.3339 Sn
0.8330 0.6660 0.6661 Sn
0.3291 0.9157 0.6582 Y
0.6709 0.0843 0.3418 Y
0.0005 0.2612 0.0009 Y
0.9995 0.7388 0.9991 Y
0.3344 0.4132 0.6688 Y
0.6656 0.5868 0.3312 Y
0.5000 0.5000 0.0000 Se
0.8349 0.1661 0.6698 Se
0.1651 0.8339 0.3302 Se
0.5000 0.0000 0.0000 Bi
```

## Properties
raw formation energy = -1.278 eV/atom
energy = -6.371 eV per atom
spin magnetization = 0.000 μB/cell
density of states at the Fermi level = 0.223 states/eV/atom